A PBEsol-optimized structure of IrPt2Cl, computed with SCAN. Values from VASP.

The structure in Quantum ESPRESSO input format:
```
&SYSTEM
  ibrav = 0, nat = 4, ntyp = 3
/
ATOMIC_SPECIES
Ir 192.22 Ir.upf
Pt 195.08 Pt.upf
Cl 35.45 Cl.upf
CELL_PARAMETERS angstrom
-1.2616 -0.8383 2.2932
2.1973 -2.5360 0.2817
4.1592 4.0212 3.7583
ATOMIC_POSITIONS crystal
Ir 0.0000 0.5000 0.0000
Pt 0.5000 0.0000 0.2250
Pt 0.5000 0.0000 0.7750
Cl 0.5000 0.5000 0.5000
```

## Properties
**Raw formation energy**: 0.26 eV per atom
**E above lowest polymorph**: 0.00 eV per formula unit
**Crystal system**: orthorhombic

---

A PBEsol-optimized structure of Zn2FeIr, computed with SCAN. Values from VASP.

The structure in Quantum ESPRESSO input format:
```
&SYSTEM
  ibrav = 0, nat = 4, ntyp = 3
/
ATOMIC_SPECIES
Zn 65.41 Zn.upf
Ir 192.22 Ir.upf
Fe 55.84 Fe.upf
CELL_PARAMETERS angstrom
3.7101 0.0000 0.0000
0.0000 3.7101 0.0000
0.0000 0.0000 3.7756
ATOMIC_POSITIONS crystal
Zn 0.0000 0.5000 0.0000
Zn 0.5000 0.0000 0.0000
Ir 0.0000 0.0000 0.5000
Fe 0.5000 0.5000 0.5000
```

## Properties
**Formation energy**: -176.7 meV per atom
**Crystal system**: tetragonal

---

A PBEsol-optimized structure of Cr8Fe2CuNiS16, computed with SCAN. Values from VASP.

The structure in Quantum ESPRESSO input format:
```
&SYSTEM
  ibrav = 0, nat = 28, ntyp = 5
/
ATOMIC_SPECIES
Cr 52.00 Cr.upf
Fe 55.84 Fe.upf
Cu 63.55 Cu.upf
Ni 58.69 Ni.upf
S 32.06 S.upf
CELL_PARAMETERS angstrom
6.8214 0.0000 0.0000
3.4107 5.9075 0.0000
3.4107 1.9692 11.1679
ATOMIC_POSITIONS crystal
Cr 0.2501 0.2501 0.2498
Cr 0.7533 0.7533 0.7401
Cr 0.5104 0.9926 0.5044
Cr 0.0086 0.4963 0.9989
Cr 0.4963 0.0086 0.9989
Cr 0.9926 0.5104 0.5044
Cr 0.4963 0.4963 0.9989
Cr 0.9926 0.9926 0.5044
Fe 0.5626 0.5626 0.3123
Fe 0.0627 0.0627 0.8120
Cu 0.9378 0.9378 0.1865
Ni 0.4374 0.4374 0.6877
S 0.8716 0.8716 0.3852
S 0.3734 0.3734 0.8798
S 0.6058 0.1363 0.1216
S 0.1172 0.6295 0.6237
S 0.1363 0.6058 0.1216
S 0.6295 0.1172 0.6237
S 0.1363 0.1363 0.1216
S 0.6295 0.6295 0.6237
S 0.6288 0.6288 0.1137
S 0.1282 0.1282 0.6153
S 0.8904 0.3642 0.3812
S 0.3939 0.8650 0.8761
S 0.3642 0.8904 0.3812
S 0.8650 0.3939 0.8761
S 0.3642 0.3642 0.3812
S 0.8650 0.8650 0.8761
```

## Properties
**Raw formation energy**: -0.92 eV per atom
**Crystal system**: trigonal

---

A PBEsol-optimized structure of Cr2CdO4, computed with SCAN. Values from VASP.

The structure in Quantum ESPRESSO input format:
```
&SYSTEM
  ibrav = 0, nat = 14, ntyp = 3
/
ATOMIC_SPECIES
Cr 52.00 Cr.upf
Cd 112.41 Cd.upf
O 16.00 O.upf
CELL_PARAMETERS angstrom
-1.0557 -5.0961 3.1283
4.5899 -2.8976 2.7218
0.4319 0.0110 6.0568
ATOMIC_POSITIONS crystal
Cr 0.6250 0.1250 0.1250
Cr 0.1250 0.1250 0.1250
Cr 0.1250 0.6250 0.1250
Cr 0.1250 0.1250 0.6250
Cd 0.5000 0.5000 0.5000
Cd 0.7500 0.7500 0.7500
O 0.8943 0.8943 0.3172
O 0.3557 0.9328 0.3557
O 0.9328 0.3557 0.3557
O 0.3557 0.3557 0.3557
O 0.3172 0.8943 0.8943
O 0.8943 0.8943 0.8943
O 0.3557 0.3557 0.9328
O 0.8943 0.3172 0.8943
```

## Properties
**Raw formation energy**: -2.23 eV per atom
**Crystal system**: cubic

---

A PBEsol-optimized structure of PAu2Br, computed with SCAN. Values from VASP.

The structure in Quantum ESPRESSO input format:
```
&SYSTEM
  ibrav = 0, nat = 4, ntyp = 3
/
ATOMIC_SPECIES
Au 196.97 Au.upf
Br 79.90 Br.upf
P 30.97 P.upf
CELL_PARAMETERS angstrom
4.6930 0.0000 0.0000
2.3465 4.0643 0.0000
2.3465 1.3548 3.8318
ATOMIC_POSITIONS crystal
Au 0.0000 0.0000 0.0000
Au 0.7500 0.7500 0.7500
Br 0.5000 0.5000 0.5000
P 0.2500 0.2500 0.2500
```

## Properties
**Raw formation energy**: 0.83 eV per atom
**E above lowest polymorph**: 2.96 eV per formula unit
**Crystal system**: cubic

---

A PBEsol-optimized structure of LiBeAu2, computed with SCAN. Values from VASP.

The structure in Quantum ESPRESSO input format:
```
&SYSTEM
  ibrav = 0, nat = 4, ntyp = 3
/
ATOMIC_SPECIES
Be 9.01 Be.upf
Au 196.97 Au.upf
Li 6.94 Li.upf
CELL_PARAMETERS angstrom
-2.1714 1.3465 1.3341
-0.5181 -3.3806 2.5686
4.0582 2.0367 1.4360
ATOMIC_POSITIONS crystal
Be 0.5100 0.5610 0.0201
Au 0.0029 0.0502 0.0057
Au 0.2329 0.6828 0.4658
Li 0.7542 0.2060 0.5084
```

## Properties
**Formation energy**: -416.1 meV per atom
**Crystal system**: monoclinic

---

A PBEsol-optimized structure of Ba2CaI6, computed with SCAN. Values from VASP.

The structure in Quantum ESPRESSO input format:
```
&SYSTEM
  ibrav = 0, nat = 18, ntyp = 3
/
ATOMIC_SPECIES
Ba 137.33 Ba.upf
Ca 40.08 Ca.upf
I 126.90 I.upf
CELL_PARAMETERS angstrom
-4.2525 -5.4848 -5.7450
8.0388 -2.4827 3.2227
-4.4227 -4.3494 7.5178
ATOMIC_POSITIONS crystal
Ba 0.7220 0.3988 0.4851
Ba 0.6012 0.2780 0.0149
Ba 0.3988 0.7220 0.9851
Ba 0.2780 0.6012 0.5149
Ca 0.9521 0.0479 0.2500
Ca 0.0479 0.9521 0.7500
I 0.7044 0.6566 0.1600
I 0.0144 0.4389 0.2089
I 0.9436 0.1824 0.5529
I 0.8176 0.0564 0.9471
I 0.5611 0.9856 0.2911
I 0.3434 0.2956 0.3400
I 0.6566 0.7044 0.6600
I 0.4389 0.0144 0.7089
I 0.1824 0.9436 0.0529
I 0.0564 0.8176 0.4471
I 0.9856 0.5611 0.7911
I 0.2956 0.3434 0.8400
```

## Properties
**Raw formation energy**: -1.83 eV per atom
**Crystal system**: monoclinic

---

A PBEsol-optimized structure of Sr2CoRu, computed with SCAN. Values from VASP.

The structure in Quantum ESPRESSO input format:
```
&SYSTEM
  ibrav = 0, nat = 4, ntyp = 3
/
ATOMIC_SPECIES
Co 58.93 Co.upf
Ru 101.07 Ru.upf
Sr 87.62 Sr.upf
CELL_PARAMETERS angstrom
3.3572 0.0000 0.0000
0.0000 3.3572 0.0000
0.0000 0.0000 8.7578
ATOMIC_POSITIONS crystal
Co 0.0000 0.0000 0.5851
Ru 0.5000 0.5000 0.6638
Sr 0.0000 0.0000 0.9160
Sr 0.5000 0.5000 0.3350
```

## Properties
**Formation energy**: 420.2 meV per atom
**Crystal system**: tetragonal

---

A PBEsol-optimized structure of Sc2Si2Se, computed with SCAN. Values from VASP.

The structure in Quantum ESPRESSO input format:
```
&SYSTEM
  ibrav = 0, nat = 10, ntyp = 3
/
ATOMIC_SPECIES
Sc 44.96 Sc.upf
Si 28.09 Si.upf
Se 78.96 Se.upf
CELL_PARAMETERS angstrom
3.8161 0.0000 0.0000
0.0000 7.0720 0.0000
0.0000 0.0000 7.0720
ATOMIC_POSITIONS crystal
Sc 0.0000 0.3189 0.8189
Sc 0.0000 0.8189 0.6811
Sc 0.0000 0.6811 0.1811
Sc 0.0000 0.1811 0.3189
Si 0.5000 0.1139 0.6139
Si 0.5000 0.6139 0.8861
Si 0.5000 0.8861 0.3861
Si 0.5000 0.3861 0.1139
Se 0.0000 0.0000 0.0000
Se 0.0000 0.5000 0.5000
```

## Properties
**Raw formation energy**: -0.82 eV per atom
**Crystal system**: tetragonal

---

A PBEsol-optimized structure of GaAgP2Se6, computed with SCAN. Values from VASP.

The structure in Quantum ESPRESSO input format:
```
&SYSTEM
  ibrav = 0, nat = 80, ntyp = 4
/
ATOMIC_SPECIES
Ga 69.72 Ga.upf
Ag 107.87 Ag.upf
P 30.97 P.upf
Se 78.96 Se.upf
CELL_PARAMETERS angstrom
-0.1212 4.2983 -6.0919
-1.9507 -9.7484 -6.8394
-22.0612 2.7469 2.3769
ATOMIC_POSITIONS crystal
Ga 0.7328 0.8659 0.3424
Ga 0.7672 0.1341 0.8424
Ga 0.2672 0.1341 0.6576
Ga 0.2328 0.8659 0.1576
Ga 0.2328 0.6341 0.6576
Ga 0.2672 0.3659 0.1576
Ga 0.7328 0.6341 0.8424
Ga 0.7672 0.3659 0.3424
Ag 0.8644 0.9109 0.5148
Ag 0.6356 0.4109 0.5148
Ag 0.8644 0.5891 0.0148
Ag 0.3644 0.5891 0.4852
Ag 0.1356 0.4109 0.9852
Ag 0.6356 0.0891 0.0148
Ag 0.3644 0.9109 0.9852
Ag 0.1356 0.0891 0.4852
P 0.5404 0.8994 0.8430
P 0.7589 0.8671 0.9130
P 0.7589 0.6329 0.4130
P 0.2411 0.3671 0.5870
P 0.0404 0.8994 0.6570
P 0.4596 0.3994 0.6570
P 0.9596 0.3994 0.8430
P 0.7411 0.3671 0.9130
P 0.0404 0.6006 0.1570
P 0.2589 0.6329 0.0870
P 0.2589 0.8671 0.5870
P 0.9596 0.1006 0.3430
P 0.5404 0.6006 0.3430
P 0.7411 0.1329 0.4130
P 0.4596 0.1006 0.1570
P 0.2411 0.1329 0.0870
Se 0.3682 0.0376 0.5664
Se 0.5348 0.2668 0.8667
Se 0.6820 0.4905 0.6198
Se 0.8133 0.0076 0.2715
Se 0.6318 0.5376 0.9336
Se 0.6494 0.7052 0.4945
Se 0.1318 0.5376 0.5664
Se 0.0305 0.2678 0.3070
Se 0.1318 0.9624 0.0664
Se 0.8133 0.4924 0.7715
Se 0.3180 0.9905 0.8802
Se 0.6494 0.7948 0.9945
Se 0.1867 0.9924 0.7285
Se 0.8682 0.4624 0.4336
Se 0.5305 0.2322 0.6930
Se 0.0305 0.2322 0.8070
Se 0.3133 0.4924 0.7285
Se 0.3506 0.2948 0.5055
Se 0.4652 0.7332 0.1333
Se 0.8682 0.0376 0.9336
Se 0.8506 0.2948 0.9945
Se 0.9652 0.7332 0.3667
Se 0.3682 0.4624 0.0664
Se 0.0348 0.2668 0.6333
Se 0.5305 0.2678 0.1930
Se 0.6867 0.5076 0.2715
Se 0.6318 0.9624 0.4336
Se 0.5348 0.2332 0.3667
Se 0.3133 0.0076 0.2285
Se 0.1494 0.7948 0.5055
Se 0.1820 0.0095 0.3802
Se 0.9695 0.7322 0.6930
Se 0.3506 0.2052 0.0055
Se 0.8180 0.9905 0.6198
Se 0.8506 0.2052 0.4945
Se 0.6820 0.0095 0.1198
Se 0.9652 0.7668 0.8667
Se 0.4695 0.7322 0.8070
Se 0.1867 0.5076 0.2285
Se 0.9695 0.7678 0.1930
Se 0.0348 0.2332 0.1333
Se 0.3180 0.5095 0.3802
Se 0.1494 0.7052 0.0055
Se 0.4652 0.7668 0.6333
Se 0.6867 0.9924 0.7715
Se 0.1820 0.4905 0.8802
Se 0.4695 0.7678 0.3070
Se 0.8180 0.5095 0.1198
```

## Properties
**Raw formation energy**: -0.27 eV per atom
**E above lowest polymorph**: 0.00 eV per formula unit
**Crystal system**: orthorhombic

---

A PBEsol-optimized structure of InMoAu3, computed with SCAN. Values from VASP.

The structure in Quantum ESPRESSO input format:
```
&SYSTEM
  ibrav = 0, nat = 5, ntyp = 3
/
ATOMIC_SPECIES
Mo 95.94 Mo.upf
Au 196.97 Au.upf
In 114.82 In.upf
CELL_PARAMETERS angstrom
4.9992 0.0000 0.0000
0.0000 4.9992 0.0000
0.0000 0.0000 4.9992
ATOMIC_POSITIONS crystal
Mo 0.5000 0.5000 0.5000
Au 0.0000 0.5000 0.0000
Au 0.0000 0.0000 0.5000
Au 0.5000 0.0000 0.0000
In 0.0000 0.0000 0.0000
```

## Properties
**Formation energy**: 1115.1 meV per atom
**Crystal system**: cubic

---

A PBEsol-optimized structure of AsOsCBr2, computed with SCAN. Values from VASP.

The structure in Quantum ESPRESSO input format:
```
&SYSTEM
  ibrav = 0, nat = 5, ntyp = 4
/
ATOMIC_SPECIES
As 74.92 As.upf
Os 190.23 Os.upf
C 12.01 C.upf
Br 79.90 Br.upf
CELL_PARAMETERS angstrom
-3.5892 2.2848 -0.6117
-2.0773 -3.5714 -1.1508
-1.1199 -0.6653 4.0863
ATOMIC_POSITIONS crystal
As 0.5000 0.0000 0.0000
Os 0.5000 0.5000 0.5000
C 0.0000 0.0000 0.0000
Br 0.0000 0.0000 0.5000
Br 0.0000 0.5000 0.0000
```

## Properties
**Raw formation energy**: 2.21 eV per atom
**Crystal system**: tetragonal

---

Ordered calculated total energy results: -54.606, -29.242, -14.086, -15.387, -41.215, -36.680, -36.182, -23.750, -14.536, -19.169, -54.033, -26.007; unit eV/atom.